{"formula": "Nd5In4Ga", "functional": "PBE-GGA", "state": "optimized geometry", "lattice": [[3.817, 0.000, 0.000], [0.000, 3.817, 0.000], [0.000, 0.000, 19.459]], "species": ["Nd", "Nd", "Nd", "Nd", "Nd", "In", "In", "In", "In", "Ga"], "fractional_positions": [[0.000, 0.000, 0.000], [0.000, 0.000, 0.205], [0.000, 0.000, 0.408], [0.000, 0.000, 0.592], [0.000, 0.000, 0.795], [0.500, 0.500, 0.102], [0.500, 0.500, 0.306], [0.500, 0.500, 0.694], [0.500, 0.500, 0.898], [0.500, 0.500, 0.500]], "total_energy_ev_per_atom": -4.286, "dos_ef_per_ev_cell": 5.363}

---

{"formula": "Nd4InGa3", "functional": "PBE-GGA", "state": "optimized geometry", "lattice": [[2.645, 1.527, 8.649], [-2.645, 1.527, 8.649], [0.000, -3.055, 8.649]], "species": ["Nd", "Nd", "Nd", "Nd", "In", "Ga", "Ga", "Ga"], "fractional_positions": [[0.121, 0.121, 0.121], [0.371, 0.371, 0.371], [0.629, 0.629, 0.629], [0.879, 0.879, 0.879], [0.500, 0.500, 0.500], [0.000, 0.000, 0.000], [0.247, 0.247, 0.247], [0.753, 0.753, 0.753]], "dos_ef_per_ev_cell": 3.443, "polymorph_energy_ev_per_atom": 0.0085}

---

{"formula": "Nd4In2Ga", "functional": "PBE-GGA", "state": "optimized geometry", "lattice": [[8.977, -1.884, 0.000], [8.977, 1.884, 0.000], [-2.142, 0.000, 6.474]], "species": ["Nd", "Nd", "Nd", "Nd", "In", "In", "Ga"], "fractional_positions": [[0.087, 0.087, 0.450], [0.369, 0.369, 0.019], [0.631, 0.631, 0.981], [0.913, 0.913, 0.550], [0.258, 0.258, 0.329], [0.742, 0.742, 0.671], [0.000, 0.000, 0.000]], "dos_ef_per_ev_cell": 6.649, "polymorph_energy_ev_per_atom": 0.0595}

---

{"formula": "NdIn2Ga", "functional": "PBE-GGA", "state": "optimized geometry", "lattice": [[4.544, 0.000, 0.000], [0.000, 4.544, 0.000], [0.000, 0.000, 4.762]], "species": ["Nd", "In", "In", "Ga"], "fractional_positions": [[0.000, 0.000, 0.000], [0.000, 0.500, 0.500], [0.500, 0.000, 0.500], [0.500, 0.500, 0.000]], "dos_ef_per_ev_cell": 2.257, "polymorph_energy_ev_per_atom": 0.0000}

---

{"formula": "Nd3In3Ga", "functional": "PBE-GGA", "state": "optimized geometry", "lattice": [[5.885, -2.274, 0.000], [5.885, 2.274, 0.000], [-4.792, 0.000, 14.803]], "species": ["Nd", "Nd", "Nd", "Nd", "Nd", "Nd", "In", "In", "In", "In", "In", "In", "Ga", "Ga"], "fractional_positions": [[0.009, 0.009, 0.381], [0.112, 0.112, 0.926], [0.231, 0.231, 0.232], [0.769, 0.769, 0.768], [0.888, 0.888, 0.074], [0.991, 0.991, 0.619], [0.343, 0.343, 0.461], [0.389, 0.389, 0.922], [0.495, 0.495, 0.771], [0.505, 0.505, 0.229], [0.611, 0.611, 0.078], [0.657, 0.657, 0.539], [0.280, 0.280, 0.628], [0.720, 0.720, 0.372]], "total_energy_ev_per_atom": -4.141, "dos_ef_per_ev_cell": 12.961}

---

{"formula": "NdInGa2", "functional": "PBE-GGA", "state": "optimized geometry", "lattice": [[4.576, 0.000, 0.000], [0.000, 4.576, 0.000], [0.000, 0.000, 4.359]], "species": ["Nd", "In", "Ga", "Ga"], "fractional_positions": [[0.000, 0.000, 0.000], [0.500, 0.500, 0.000], [0.000, 0.500, 0.500], [0.500, 0.000, 0.500]], "dos_ef_per_ev_cell": 2.467, "polymorph_energy_ev_per_atom": 0.0000}